Material: Ho6NpS8
Method: DFT, PBE
State: relaxed

Geometry as POSCAR:
```
Ho6NpS8
1.0
-4.9732 5.4868 2.3338
-5.1867 -1.5724 5.5598
0.7632 3.1924 7.0364
S Ho Np
8 6 1
direct
0.2535 0.7465 0.7465
0.2535 0.7465 0.2535
0.7465 0.7465 0.2535
0.2500 0.2500 0.2500
0.7465 0.2535 0.2535
0.7500 0.7500 0.7500
0.7465 0.2535 0.7465
0.2535 0.2535 0.7465
0.5000 0.5000 0.0000
0.0000 0.0000 0.5000
0.5000 0.0000 0.5000
0.5000 0.0000 0.0000
0.0000 0.5000 0.0000
0.0000 0.5000 0.5000
0.0000 0.0000 0.0000
```

Formation energy (no corrections), eV/atom: -1.920
Calculated total energy, eV per atom: -6.815

***

Material: Ho2Np2S7
Method: DFT, PBE
State: relaxed

Geometry as POSCAR:
```
Ho2Np2S7
1.0
3.8980 0.0000 0.0000
1.9490 8.1457 -0.0878
1.9490 3.7849 7.2136
S Ho Np
7 2 2
direct
0.5000 0.0095 0.9905
0.8144 0.0772 0.2940
0.8601 0.4192 0.8605
0.6108 0.4958 0.2826
0.1399 0.1395 0.5808
0.3892 0.7174 0.5042
0.1856 0.7060 0.9228
0.5000 0.3268 0.6732
0.0000 0.7898 0.2102
0.7434 0.8429 0.6703
0.2566 0.3297 0.1571
```

Formation energy (no corrections), eV/atom: -1.588
Calculated total energy, eV per atom: -7.399

***

Material: HoNp2S6
Method: DFT, PBE
State: relaxed

Geometry as POSCAR:
```
HoNp2S6
1.0
5.0946 0.0000 0.0000
2.5473 6.6502 -0.6265
2.5473 2.0203 6.7833
Np S Ho
2 6 1
direct
0.8173 0.2577 0.1076
0.1827 0.7423 0.8924
0.3725 0.7066 0.5484
0.6275 0.2934 0.4516
0.0400 0.1443 0.7757
0.7437 0.6371 0.8754
0.2563 0.3629 0.1246
0.9600 0.8557 0.2243
0.0000 0.5000 0.5000
```

Formation energy (no corrections), eV/atom: -1.283
Calculated total energy, eV per atom: -7.419

***

Material: HoNp2S3
Method: DFT, PBE
State: relaxed

Geometry as POSCAR:
```
HoNp2S3
1.0
-3.3629 -2.9337 -3.2297
5.4556 -0.0994 -5.5904
4.3689 -9.8955 4.4395
S Np Ho
12 8 4
direct
0.2501 0.1243 0.5842
0.7499 0.8757 0.4158
0.2500 0.6246 0.5827
0.2499 0.1244 0.2492
0.7500 0.8754 0.0827
0.7501 0.3756 0.7492
0.2501 0.6243 0.9158
0.2499 0.6244 0.2508
0.2500 0.1246 0.9173
0.7499 0.3757 0.0842
0.7501 0.8756 0.7508
0.7500 0.3754 0.4173
0.7499 0.1250 0.2496
0.2499 0.8759 0.4164
0.2499 0.3759 0.0836
0.2501 0.8750 0.7504
0.7499 0.6250 0.2504
0.7501 0.6241 0.9164
0.7501 0.1241 0.5836
0.2501 0.3750 0.7496
0.2500 0.3737 0.4172
0.2500 0.8737 0.0828
0.7500 0.1263 0.9172
0.7500 0.6263 0.5828
```

Formation energy (no corrections), eV/atom: -1.577
Calculated total energy, eV per atom: -8.717

***

Among the records above, which one has the highest formation energy (no corrections)? HoNp2S6